A plane-wave DFT calculation with PBE+U was carried out for a relaxed Sr2MnCu2S2O2 crystal.

Results
As for the space group: I4/mmm (139). Its raw total energy is -5.613 eV per atom. As for the total moment: 4.93 Bohr magnetons per cell.

a = 4.110 Å, b = 4.110 Å, c = 9.266 Å
α = 102.81°, β = 102.81°, γ = 90.00°
Positions (direct):
O 0.500 0.000 0.000
Cu 0.750 0.250 0.500
S 0.174 0.174 0.349
Sr 0.593 0.593 0.187
O 0.000 0.500 0.000
Mn 0.000 0.000 0.000
S 0.826 0.826 0.651
Cu 0.250 0.750 0.500
Sr 0.407 0.407 0.813